(1)
First-principles (SCAN) data for ZrBeIn at its PBEsol-relaxed geometry, as listed in the Alexandria database.

```
3
Lattice="-0.2380 0.8026 -2.9250 -0.2455 -2.9253 0.7996 -6.8513 0.7862 0.7733" Properties=species:S:1:pos:R:3 pbc="T T T"
Be -6.8233 0.7830 0.7701
Zr -2.3745 -0.1951 -1.4426
In -4.9882 -1.1381 0.0936
```

## Properties
As for the symmetry: P3m1 (156). Its calculated formation energy is 0.270 eV per atom.


(2)
First-principles (SCAN) data for LiIrBr2 at its PBEsol-relaxed geometry, as listed in the Alexandria database.

```
4
Lattice="-0.6890 -2.1784 2.8688 -3.9840 -1.8292 -2.3459 4.6691 -3.9855 -1.9050" Properties=species:S:1:pos:R:3 pbc="T T T"
Br 2.7310 -3.2889 -1.8415
Br -2.0459 -2.5258 -2.4093
Ir 1.9900 -3.0819 0.4819
Li -0.0020 -3.9966 -0.6911
```

## Properties
As for the symmetry: P2/m (10). The value obtained for the relative energy among the computed polymorphs is 0 meV per atom.


(3)
First-principles (SCAN) data for Ca2Ir at its PBEsol-relaxed geometry, as listed in the Alexandria database.

```
3
Lattice="4.1495 0.0000 0.0000 -2.0747 3.5936 0.0000 0.0000 0.0000 6.0229" Properties=species:S:1:pos:R:3 pbc="T T T"
Ca 0.0000 2.3957 1.3786
Ca 2.0748 1.1979 4.6443
Ir 0.0000 0.0000 0.0000
```

## Properties
As for the symmetry: P-3m1 (164). Its calculated formation energy is -0.056 eV per atom.


(4)
First-principles (SCAN) data for LiCrRu2 at its PBEsol-relaxed geometry, as listed in the Alexandria database.

```
4
Lattice="4.0713 0.0000 0.0000 2.0357 3.5259 0.0000 2.0357 1.1753 3.3242" Properties=species:S:1:pos:R:3 pbc="T T T"
Ru 2.0357 1.1753 0.8311
Ru 6.1070 3.5259 2.4932
Cr 0.0000 0.0000 0.0000
Li 4.0713 2.3506 1.6621
```

## Properties
As for the symmetry: Fm-3m (225). The value obtained for the relative energy among the computed polymorphs is 0 meV per atom. Its calculated formation energy is 0.034 eV per atom.


(5)
First-principles (SCAN) data for BaRuPtSe2 at its PBEsol-relaxed geometry, as listed in the Alexandria database.

```
5
Lattice="4.6237 0.0000 0.0000 0.0000 4.6237 0.0000 0.0000 0.0000 6.2239" Properties=species:S:1:pos:R:3 pbc="T T T"
Ru 0.0000 0.0000 0.0000
Se 0.0000 2.3118 0.0000
Se 2.3118 0.0000 0.0000
Ba 0.0000 0.0000 3.1120
Pt 2.3118 2.3118 3.1120
```

## Properties
As for the symmetry: P4/mmm (123). As for the uncorrected energy: -1.35122 Ha/atom.


(6)
First-principles (SCAN) data for Sc2BeZn at its PBEsol-relaxed geometry, as listed in the Alexandria database.

```
4
Lattice="3.2285 0.0000 0.0000 0.0000 4.5671 0.0000 0.0000 0.0000 4.5696" Properties=species:S:1:pos:R:3 pbc="T T T"
Sc 0.0000 0.0000 0.5588
Sc 0.0000 2.2836 2.8667
Be 1.6142 2.2836 0.5961
Zn 1.6142 0.0000 2.8327
```

## Properties
As for the symmetry: Pmm2 (25). The value obtained for the relative energy among the computed polymorphs is 18 meV per atom. Its calculated formation energy is -0.248 eV per atom.


(7)
First-principles (SCAN) data for CaCrIr2 at its PBEsol-relaxed geometry, as listed in the Alexandria database.

```
4
Lattice="3.6806 0.0000 0.0000 0.0000 4.1436 0.0000 0.0000 0.0000 4.1436" Properties=species:S:1:pos:R:3 pbc="T T T"
Cr 1.8403 0.0000 0.0000
Ca 1.8403 2.0718 2.0718
Ir 0.0000 0.0000 2.0718
Ir 0.0000 2.0718 0.0000
```

## Properties
As for the symmetry: P4/mmm (123). The value obtained for the relative energy among the computed polymorphs is 257 meV per atom. Its calculated formation energy is -0.002 eV per atom.


(8)
First-principles (SCAN) data for TaCo4Ru at its PBEsol-relaxed geometry, as listed in the Alexandria database.

```
6
Lattice="4.6469 0.0000 0.0000 2.3235 4.0244 0.0000 2.3235 1.3415 3.7942" Properties=species:S:1:pos:R:3 pbc="T T T"
Ru 6.9704 4.0244 2.8457
Co 5.8035 2.0152 1.4249
Co 3.4904 2.0152 1.4249
Co 4.6469 2.6829 3.3136
Co 4.6469 4.0184 1.4249
Ta 0.0000 0.0000 0.0000
```

## Properties
As for the symmetry: F-43m (216). Its calculated formation energy is -0.093 eV per atom.


(9)
First-principles (SCAN) data for ZnCu2Au at its PBEsol-relaxed geometry, as listed in the Alexandria database.

```
4
Lattice="-2.0765 -0.0416 -1.8583 2.9773 -0.6750 -3.3118 -0.0083 -4.0511 2.1897" Properties=species:S:1:pos:R:3 pbc="T T T"
Zn -1.0382 -0.0208 -0.9291
Au 1.4886 -0.3375 -1.6559
Cu 0.1988 -2.1576 -0.1738
Cu 0.6938 -2.6102 -2.8065
```

## Properties
As for the symmetry: C2/m (12). Its calculated formation energy is -0.087 eV per atom.


(10)
First-principles (SCAN) data for Zn3RuS at its PBEsol-relaxed geometry, as listed in the Alexandria database.

```
5
Lattice="-1.3503 -0.4243 4.4596 0.0587 -4.6591 -0.4255 4.4794 -0.0668 1.3499" Properties=species:S:1:pos:R:3 pbc="T T T"
Ru 0.0000 0.0000 0.0000
Zn 0.0294 -2.3295 -0.2127
Zn 2.2397 -0.0334 0.6749
Zn -0.6751 -0.2121 2.2298
S 1.5939 -2.5751 2.6920
```

## Properties
As for the symmetry: Pm-3m (221). As for the uncorrected energy: -0.59227 Ha/atom.


(11)
First-principles (SCAN) data for AgAu2 at its PBEsol-relaxed geometry, as listed in the Alexandria database.

```
3
Lattice="4.3803 0.0000 0.0000 2.1901 3.7934 0.0000 2.1901 1.2645 3.5765" Properties=species:S:1:pos:R:3 pbc="T T T"
Au 6.5704 3.7934 2.6824
Au 2.1901 1.2645 0.8941
Ag 0.0000 0.0000 0.0000
```

## Properties
As for the symmetry: Fm-3m (225). The value obtained for the relative energy among the computed polymorphs is 315 meV per atom. Its calculated formation energy is 0.240 eV per atom.


(12)
First-principles (SCAN) data for TaCdIrN2 at its PBEsol-relaxed geometry, as listed in the Alexandria database.

```
5
Lattice="-2.4245 -2.5262 -1.7120 2.9479 -1.3734 -2.1481 1.1403 -3.8027 3.9963" Properties=species:S:1:pos:R:3 pbc="T T T"
Cd 0.0000 0.0000 0.0000
N 1.4740 -0.6867 -1.0740
N -1.2122 -1.2631 -0.8560
Ir 0.8319 -3.8512 0.0681
Ta 0.5702 -1.9013 1.9981
```

## Properties
As for the symmetry: P4/mmm (123). As for the uncorrected energy: -1.28170 Ha/atom.


(13)
First-principles (SCAN) data for RbOs3I at its PBEsol-relaxed geometry, as listed in the Alexandria database.

```
5
Lattice="4.8412 0.0000 0.0000 0.0000 4.8412 0.0000 0.0000 0.0000 4.8412" Properties=species:S:1:pos:R:3 pbc="T T T"
I 2.4206 2.4206 2.4206
Os 0.0000 2.4206 0.0000
Os 0.0000 0.0000 2.4206
Os 2.4206 0.0000 0.0000
Rb 0.0000 0.0000 0.0000
```

## Properties
As for the symmetry: Pm-3m (221). As for the uncorrected energy: -1.84380 Ha/atom.


(14)
First-principles (SCAN) data for Li2MgZn at its PBEsol-relaxed geometry, as listed in the Alexandria database.

```
4
Lattice="-2.7331 -0.3772 -0.6996 0.0767 -4.2296 1.9807 -0.6715 2.1764 4.6736" Properties=species:S:1:pos:R:3 pbc="T T T"
Zn -0.2974 -1.0266 3.3272
Mg -1.3282 -2.3034 0.6405
Li -2.6143 1.3008 2.8791
Li -0.7902 0.4984 1.0949
```

## Properties
As for the symmetry: P2/m (10). Its calculated formation energy is -0.087 eV per atom.


(15)
First-principles (SCAN) data for TcHgF2 at its PBEsol-relaxed geometry, as listed in the Alexandria database.

```
4
Lattice="2.7819 0.0000 0.0000 1.3910 2.4092 0.0000 1.3910 0.8031 8.7438" Properties=species:S:1:pos:R:3 pbc="T T T"
F 4.1729 2.4092 2.7977
F 1.3910 0.8031 5.9462
Hg 0.0000 0.0000 0.0000
Tc 2.7819 1.6061 4.3719
```

## Properties
As for the symmetry: R-3m (166). As for the uncorrected energy: -1.04315 Ha/atom.


(16)
First-principles (SCAN) data for SrFeRe2I at its PBEsol-relaxed geometry, as listed in the Alexandria database.

```
5
Lattice="4.8332 0.0000 0.0000 0.0000 4.8332 0.0000 0.0000 0.0000 5.6326" Properties=species:S:1:pos:R:3 pbc="T T T"
I 0.0000 0.0000 0.0000
Re 0.0000 2.4166 0.0000
Re 2.4166 0.0000 0.0000
Fe 2.4166 2.4166 2.8163
Sr 0.0000 0.0000 2.8163
```

## Properties
As for the symmetry: P4/mmm (123). As for the uncorrected energy: -1.52418 Ha/atom.


(17)
First-principles (SCAN) data for Tm2Au at its PBEsol-relaxed geometry, as listed in the Alexandria database.

```
12
Lattice="-1.1641 -1.9179 -4.2610 2.9338 -5.9476 1.8756 -7.5657 -2.6972 3.2811" Properties=species:S:1:pos:R:3 pbc="T T T"
Tm -4.8184 -3.9001 -1.0098
Tm -3.9921 -5.2046 2.0728
Tm -3.6144 -8.5667 3.4829
Tm -5.9242 -7.7911 1.0438
Tm 0.1281 -2.7716 -0.1480
Tm -2.1817 -1.9961 -2.5872
Tm -1.8040 -5.3582 -1.1770
Tm -0.9777 -6.6626 1.9055
Au -3.2221 -7.4657 0.1590
Au -6.9854 -5.3106 0.2171
Au 1.1893 -5.2522 0.6786
Au -2.5740 -3.0971 0.7367
```

## Properties
As for the symmetry: Pnma (62). Its calculated formation energy is -0.912 eV per atom.


(18)
First-principles (SCAN) data for ScGa2 at its PBEsol-relaxed geometry, as listed in the Alexandria database.

```
6
Lattice="4.0625 0.0000 0.0000 2.0312 5.0930 -0.0060 2.0312 0.9310 5.0072" Properties=species:S:1:pos:R:3 pbc="T T T"
Sc 4.0625 1.6163 3.4591
Sc 4.0625 4.4076 1.5422
Ga 4.0625 4.8802 4.4344
Ga 4.0625 1.1438 0.5668
Ga 2.0312 2.2444 1.4806
Ga 6.0937 3.7795 3.5206
```

## Properties
As for the symmetry: Imma (74). Its calculated formation energy is -0.684 eV per atom.


(19)
First-principles (SCAN) data for BeTeAs2Br at its PBEsol-relaxed geometry, as listed in the Alexandria database.

```
5
Lattice="-1.4926 3.1033 -4.0248 2.6172 -3.1264 -3.3812 -4.4515 -3.0055 -0.6666" Properties=species:S:1:pos:R:3 pbc="T T T"
Be -1.6634 -1.5144 -4.0363
As 1.3086 -1.5632 -1.6906
As -0.7463 1.5516 -2.0124
Te 0.0000 0.0000 0.0000
Br -2.2257 -1.5028 -0.3333
```

## Properties
As for the symmetry: P4/mmm (123). As for the uncorrected energy: -0.69928 Ha/atom.


(20)
First-principles (SCAN) data for LiMg2Al at its PBEsol-relaxed geometry, as listed in the Alexandria database.

```
4
Lattice="4.2105 0.0000 0.0000 0.0000 4.2105 0.0000 -2.1052 -2.1052 4.3361" Properties=species:S:1:pos:R:3 pbc="T T T"
Mg 0.0000 0.0000 0.0000
Mg 2.1052 0.0000 2.1680
Al 2.1052 2.1052 0.0000
Li 0.0000 2.1052 2.1680
```

## Properties
As for the symmetry: I-4m2 (119). Its calculated formation energy is -0.023 eV per atom.


(21)
First-principles (SCAN) data for Mg2ReSb at its PBEsol-relaxed geometry, as listed in the Alexandria database.

```
4
Lattice="-2.7520 -2.2923 0.2113 1.9333 -1.9820 3.6775 -1.7112 4.9240 0.6723" Properties=species:S:1:pos:R:3 pbc="T T T"
Mg -2.5262 0.6449 4.5566
Mg -2.4552 0.2723 1.4374
Re -0.4424 -2.0936 1.9852
Sb -0.0452 0.3388 3.0873
```

## Properties
As for the symmetry: Imm2 (44). As for the uncorrected energy: -1.07812 Ha/atom.


(22)
First-principles (SCAN) data for Zr2CdRh at its PBEsol-relaxed geometry, as listed in the Alexandria database.

```
4
Lattice="-3.4377 -1.6422 1.3848 2.1429 -2.8026 1.9963 0.8133 4.9278 1.9296" Properties=species:S:1:pos:R:3 pbc="T T T"
Cd -0.6474 -2.2224 1.6905
Rh 1.1544 -0.0486 2.8082
Zr 0.0000 0.0000 0.0000
Zr -1.6359 0.5316 2.5024
```

## Properties
As for the symmetry: I-4m2 (119). Its calculated formation energy is -0.356 eV per atom.


(23)
First-principles (SCAN) data for TaCuC3 at its PBEsol-relaxed geometry, as listed in the Alexandria database.

```
5
Lattice="3.6990 0.0000 0.0000 0.0000 3.6990 0.0000 0.0000 0.0000 3.6990" Properties=species:S:1:pos:R:3 pbc="T T T"
C 0.0000 1.8495 0.0000
C 0.0000 0.0000 1.8495
C 1.8495 0.0000 0.0000
Cu 0.0000 0.0000 0.0000
Ta 1.8495 1.8495 1.8495
```

## Properties
As for the symmetry: Pm-3m (221). Its calculated formation energy is 2.299 eV per atom.


(24)
First-principles (SCAN) data for Li4Fe3SbO8 at its PBEsol-relaxed geometry, as listed in the Alexandria database.

```
16
Lattice="5.9114 0.0423 0.0090 2.9421 5.1274 0.0090 2.9027 1.6949 4.8855" Properties=species:S:1:pos:R:3 pbc="T T T"
Li 4.4268 2.5849 0.0090
Li 2.9224 3.4112 2.4473
Li 0.0000 0.0000 0.0000
Li 4.4071 0.8686 2.4473
Fe 2.9557 0.0211 0.0045
Fe 5.8781 3.4323 2.4518
Fe 1.4711 2.5637 0.0045
Sb 1.4514 0.8475 2.4428
O 4.5062 2.6312 3.6489
O 5.9391 1.7853 1.3223
O 8.8840 5.1875 3.6173
O 7.2501 4.2334 1.2546
O 4.4737 4.2949 1.3223
O 5.8172 5.0793 3.5813
O 2.8723 1.6772 1.2862
O 7.2825 2.5698 3.5813
```

## Properties
As for the symmetry: C2/m (12). As for the uncorrected energy: -0.41277 Ha/atom.


(25)
First-principles (SCAN) data for Ti2ZnOsF at its PBEsol-relaxed geometry, as listed in the Alexandria database.

```
5
Lattice="-0.5240 -3.3193 -1.0979 3.4152 -1.5214 2.9693 -3.2604 -0.6205 3.4321" Properties=species:S:1:pos:R:3 pbc="T T T"
Zn 0.0000 0.0000 0.0000
F -0.2620 -1.6596 -0.5490
Os -0.1846 -2.7306 2.6517
Ti -1.6302 -0.3103 1.7161
Ti 1.7076 -0.7607 1.4846
```

## Properties
As for the symmetry: P4/mmm (123). As for the uncorrected energy: -0.86935 Ha/atom.


(26)
First-principles (SCAN) data for SiSI2 at its PBEsol-relaxed geometry, as listed in the Alexandria database.

```
8
Lattice="-4.7803 4.4984 -0.4146 -1.5136 -4.3651 4.6812 5.6713 2.9764 1.4955" Properties=species:S:1:pos:R:3 pbc="T T T"
I 0.8218 -2.5396 4.6805
I -0.4050 5.3020 2.6257
I 0.3463 1.3783 3.5596
I -2.0083 2.0785 0.6583
S 0.0000 0.0000 0.0000
S -2.1075 -0.2806 3.6774
Si 2.0788 -0.6944 3.0883
Si 1.4849 3.3902 2.0846
```

## Properties
As for the symmetry: I-42d (122). As for the uncorrected energy: -0.82812 Ha/atom.


(27)
First-principles (SCAN) data for CaMgIn2 at its PBEsol-relaxed geometry, as listed in the Alexandria database.

```
4
Lattice="-2.4541 -1.8842 -3.0103 0.1036 -4.0812 2.4701 -3.9242 1.3320 2.3654" Properties=species:S:1:pos:R:3 pbc="T T T"
Ca -1.2271 -0.9421 -1.5051
Mg -3.1373 -2.3167 0.9126
In -1.9621 0.6660 1.1827
In 0.0518 -2.0406 1.2350
```

## Properties
As for the symmetry: P4/mmm (123). Its calculated formation energy is -0.410 eV per atom.


(28)
First-principles (SCAN) data for Ho at its PBEsol-relaxed geometry, as listed in the Alexandria database.

```
3
Lattice="-0.8278 -2.2709 -2.4941 -1.2993 -3.1086 0.8434 -8.4071 1.3428 -0.8505" Properties=species:S:1:pos:R:3 pbc="T T T"
Ho 0.0000 0.0000 0.0000
Ho -7.2587 -3.2890 -1.8509
Ho -3.2754 -0.7477 -0.6503
```

## Properties
As for the symmetry: R-3m (166). The value obtained for the relative energy among the computed polymorphs is 0 meV per atom. Its calculated formation energy is 0.000 eV per atom.


(29)
First-principles (SCAN) data for ScRhAu2 at its PBEsol-relaxed geometry, as listed in the Alexandria database.

```
4
Lattice="-1.8055 2.4961 2.6152 -3.3567 -0.0720 -2.2487 1.2566 -4.3466 1.8941" Properties=species:S:1:pos:R:3 pbc="T T T"
Sc -1.5650 -0.3192 2.3463
Rh -2.5811 1.2120 0.1832
Au 0.0000 0.0000 0.0000
Au -2.3406 -1.6033 -0.0856
```

## Properties
As for the symmetry: I-4m2 (119). Its calculated formation energy is -0.762 eV per atom.